First-principles (PBE) data for InRhSe2 after structural relaxation, as listed in Alexandria via LeMat-Bulk.

Cell lengths 4.7636, 4.7636, 4.7629 Å; angles 69.44, 69.44, 107.31 degrees
Last column: nearest neighbours and their distance in Å.
Atoms (fractional coordinates):
In  0.5000  0.0000  0.5000  4 Se 2.71, 2 Rh 2.82
Rh  0.0000  0.5000  0.5000  4 Se 2.71, 2 In 2.82
Se  0.0000  0.0000  0.0000  2 In 2.71, 2 Rh 2.71, 2 Se 2.82
Se  0.5000  0.5000  0.0000  2 Rh 2.71, 2 In 2.71, 2 Se 2.82

The value obtained for the density of states at the Fermi level is 2.11 states/eV/f.u. As for the symmetry: I4/mmm, No. 139. The formation energy from raw total energies is 0.00 eV per atom.

---

First-principles (PBE) data for SiTcAs2 after structural relaxation, as listed in Alexandria via LeMat-Bulk.

Cell lengths 4.4558, 4.4558, 4.4558 Å; angles 119.86, 119.86, 90.25 degrees
Last column: nearest neighbours and their distance in Å.
Atoms (fractional coordinates):
As  0.0000  0.0000  0.0000  4 As 2.73, 4 Tc 2.73
As  0.2500  0.7500  0.5000  4 As 2.73, 4 Si 2.73
Si  0.5000  0.5000  0.0000  4 As 2.73, 4 Tc 2.73
Tc  0.7500  0.2500  0.5000  4 As 2.73, 4 Si 2.73

The value obtained for the density of states at the Fermi level is 1.67 states/eV/f.u. As for the symmetry: I-4m2, No. 119. The formation energy from raw total energies is 0.41 eV per atom.

---

First-principles (PBE) data for CoN6Cl2 after structural relaxation, as listed in Alexandria via LeMat-Bulk.

Cell lengths 5.5008, 5.5008, 5.5008 Å; angles 60.00, 60.00, 60.00 degrees
Last column: nearest neighbours and their distance in Å.
Atoms (fractional coordinates):
Co  0.0000  0.0000  0.0000  6 N 1.81
N  0.2330  0.7670  0.7670  1 Co 1.81
N  0.2330  0.2330  0.7670  1 Co 1.81
N  0.2330  0.7670  0.2330  1 Co 1.81
N  0.7670  0.2330  0.2330  1 Co 1.81
N  0.7670  0.7670  0.2330  1 Co 1.81
N  0.7670  0.2330  0.7670  1 Co 1.81
Cl  0.7500  0.7500  0.7500  12 N 2.75
Cl  0.2500  0.2500  0.2500  12 N 2.75

The value obtained for the density of states at the Fermi level is 6.17 states/eV/f.u. As for the symmetry: Fm-3m, No. 225. The formation energy from raw total energies is 2.74 eV per atom.

---

First-principles (PBE) data for Pm12Cu6N after structural relaxation, as listed in Alexandria via LeMat-Bulk.

Cell lengths 8.0942, 8.0942, 8.0942 Å; angles 96.69, 96.69, 96.69 degrees
Last column: nearest neighbours and their distance in Å.
Atoms (fractional coordinates):
Pm  0.8082  0.5846  0.4305  3 Cu 2.74-3.00
Pm  0.4305  0.8082  0.5846  3 Cu 2.74-3.00
Pm  0.5846  0.4305  0.8082  3 Cu 2.74-3.00
Pm  0.1918  0.4154  0.5695  3 Cu 2.74-3.00
Pm  0.5695  0.1918  0.4154  3 Cu 2.74-3.00
Pm  0.4154  0.5695  0.1918  3 Cu 2.74-3.00
Pm  0.0760  0.9793  0.3053  1 N 2.51
Pm  0.0207  0.6947  0.9240  1 N 2.51
Pm  0.6947  0.9240  0.0207  1 N 2.51
Pm  0.9240  0.0207  0.6947  1 N 2.51
Pm  0.9793  0.3053  0.0760  1 N 2.51
Pm  0.3053  0.0760  0.9793  1 N 2.51
Cu  0.6977  0.8806  0.3656  4 Pm 2.74-3.00
Cu  0.6344  0.3023  0.1194  4 Pm 2.74-3.00
Cu  0.1194  0.6344  0.3023  4 Pm 2.74-3.00
Cu  0.3023  0.1194  0.6344  4 Pm 2.74-3.00
Cu  0.3656  0.6977  0.8806  4 Pm 2.74-3.00
Cu  0.8806  0.3656  0.6977  4 Pm 2.74-3.00
N  0.0000  0.0000  0.0000  6 Pm 2.51

The value obtained for the density of states at the Fermi level is 20.35 states/eV/f.u. As for the symmetry: R-3, No. 148. The formation energy from raw total energies is -0.10 eV per atom.

---

First-principles (PBE) data for Rb2As2PdRh after structural relaxation, as listed in Alexandria via LeMat-Bulk.

Cell lengths 6.2469, 5.8053, 11.5737 Å; angles 104.52, 105.66, 90.00 degrees
Last column: nearest neighbours and their distance in Å.
Atoms (fractional coordinates):
Rb  0.3922  0.1473  0.2946  4 As 3.46-3.67, 2 Pd 3.81, 2 Rh 3.83
Rb  0.6078  0.8527  0.7054  4 As 3.46-3.67, 2 Pd 3.81, 2 Rh 3.83
Rb  0.0975  0.3527  0.7054  4 As 3.46-3.67, 2 Pd 3.81, 2 Rh 3.83
Rb  0.9025  0.6473  0.2946  4 As 3.46-3.67, 2 Pd 3.81, 2 Rh 3.83
As  0.7991  0.0603  0.1206  2 Rh 2.45, 2 Pd 2.54
As  0.3215  0.5603  0.1206  2 Rh 2.45, 2 Pd 2.54
As  0.6785  0.4397  0.8794  2 Rh 2.45, 2 Pd 2.54
As  0.2009  0.9397  0.8794  2 Rh 2.45, 2 Pd 2.54
Pd  0.0000  0.7500  0.0000  4 As 2.54
Pd  0.0000  0.2500  0.0000  4 As 2.54
Rh  0.5000  0.7500  0.0000  4 As 2.45
Rh  0.5000  0.2500  0.0000  4 As 2.45

The value obtained for the density of states at the Fermi level is 4.91 states/eV/f.u. As for the symmetry: Ibam, No. 72. The energy relative to the elements comes out at -441 meV/atom.

---

First-principles (PBE) data for BaTaMn after structural relaxation, as listed in Alexandria via LeMat-Bulk.

Cell lengths 6.8548, 6.8549, 3.4022 Å; angles 75.63, 75.63, 28.74 degrees
Last column: nearest neighbours and their distance in Å.
Atoms (fractional coordinates):
Ba  0.9954  0.9954  0.0046  4 Ba 3.40, 5 Ta 3.57-3.73, 5 Mn 3.60-3.74
Mn  0.2869  0.2869  0.7131  4 Ta 2.56
Ta  0.7177  0.7177  0.2823  4 Mn 2.56

The value obtained for the density of states at the Fermi level is 3.97 states/eV/f.u. As for the symmetry: I4mm, No. 107. Its relative energy among the computed polymorphs is 0.00 eV/f.u. The energy relative to the elements comes out at 671 meV/atom.

---

First-principles (PBE) data for TaP4Pb after structural relaxation, as listed in Alexandria via LeMat-Bulk.

Cell lengths 5.2670, 5.2670, 5.2670 Å; angles 60.00, 60.00, 60.00 degrees
Last column: nearest neighbours and their distance in Å.
Atoms (fractional coordinates):
Ta  0.0000  0.0000  0.0000  12 P 3.07, 4 Pb 3.23
P  0.6321  0.6321  0.1036  3 P 2.48
P  0.6321  0.1036  0.6321  3 P 2.48
P  0.6321  0.6321  0.6321  3 P 2.48
P  0.1036  0.6321  0.6321  3 P 2.48
Pb  0.2500  0.2500  0.2500  12 P 3.11, 4 Ta 3.23

The value obtained for the density of states at the Fermi level is 3.63 states/eV/f.u. As for the symmetry: F-43m, No. 216. The energy relative to the elements comes out at 683 meV/atom.

---

First-principles (PBE) data for AgPb2Cl after structural relaxation, as listed in Alexandria via LeMat-Bulk.

Cell lengths 5.2957, 5.2957, 5.2957 Å; angles 60.00, 60.00, 60.00 degrees
Last column: nearest neighbours and their distance in Å.
Atoms (fractional coordinates):
Pb  0.0000  0.0000  0.0000  4 Cl 3.24, 4 Pb 3.24
Pb  0.2500  0.2500  0.2500  4 Pb 3.24, 4 Ag 3.24
Ag  0.5000  0.5000  0.5000  4 Cl 3.24, 4 Pb 3.24
Cl  0.7500  0.7500  0.7500  4 Pb 3.24, 4 Ag 3.24

The value obtained for the density of states at the Fermi level is 3.54 states/eV/f.u. As for the symmetry: F-43m, No. 216. The formation energy from raw total energies is 0.03 eV per atom.

---

First-principles (PBE) data for Ba5Ge2 after structural relaxation, as listed in Alexandria via LeMat-Bulk.

Cell lengths 7.7272, 8.0886, 10.9432 Å; angles 111.69, 110.67, 90.00 degrees
Last column: nearest neighbours and their distance in Å.
Atoms (fractional coordinates):
Ba  0.0835  0.2127  0.1671  1 Ge 3.24
Ba  0.9165  0.7873  0.8329  1 Ge 3.24
Ba  0.5835  0.9543  0.1671  1 Ge 3.24
Ba  0.4165  0.0457  0.8329  1 Ge 3.24
Ba  0.4753  0.7253  0.4505  2 Ge 3.44
Ba  0.0247  0.2747  0.5495  2 Ge 3.44
Ba  0.5247  0.2747  0.5495  2 Ge 3.44
Ba  0.9753  0.7253  0.4505  2 Ge 3.44
Ba  0.7500  0.5000  0.0000  4 Ge 3.43
Ba  0.2500  0.5000  0.0000  4 Ge 3.43
Ge  0.3874  0.6213  0.7748  5 Ba 3.24-3.44
Ge  0.6126  0.3787  0.2252  5 Ba 3.24-3.44
Ge  0.8874  0.1535  0.7748  5 Ba 3.24-3.44
Ge  0.1126  0.8465  0.2252  5 Ba 3.24-3.44

The value obtained for the density of states at the Fermi level is 4.85 states/eV/f.u. As for the symmetry: Ibam, No. 72. Its relative energy among the computed polymorphs is 0.52 eV/f.u. The energy relative to the elements comes out at -309 meV/atom.

---

First-principles (PBE) data for Dy6Tm8In after structural relaxation, as listed in Alexandria via LeMat-Bulk.

Cell lengths 8.9049, 8.9049, 8.3958 Å; angles 57.97, 57.97, 60.00 degrees
Last column: nearest neighbours and their distance in Å.
Atoms (fractional coordinates):
Dy  0.4517  0.8926  0.8838  4 Tm 3.28-3.65, 1 In 3.32, 4 Dy 3.51-3.58
Dy  0.1074  0.2280  0.1162  4 Tm 3.28-3.65, 1 In 3.32, 4 Dy 3.51-3.58
Dy  0.2280  0.5483  0.1162  4 Tm 3.28-3.65, 1 In 3.32, 4 Dy 3.51-3.58
Dy  0.7720  0.4517  0.8838  4 Tm 3.28-3.65, 1 In 3.32, 4 Dy 3.51-3.58
Dy  0.8926  0.7720  0.8838  4 Tm 3.28-3.65, 1 In 3.32, 4 Dy 3.51-3.58
Dy  0.5483  0.1074  0.1162  4 Tm 3.28-3.65, 1 In 3.32, 4 Dy 3.51-3.58
Tm  0.2542  0.2834  0.5715  3 Dy 3.33-3.65, 5 Tm 3.34-3.37, 1 In 3.45
Tm  0.7166  0.1092  0.4285  3 Dy 3.33-3.65, 5 Tm 3.34-3.37, 1 In 3.45
Tm  0.1092  0.7458  0.4285  3 Dy 3.33-3.65, 5 Tm 3.34-3.37, 1 In 3.45
Tm  0.5759  0.5759  0.2724  4 Tm 3.02-3.36, 3 Dy 3.28
Tm  0.4241  0.4241  0.7276  4 Tm 3.02-3.36, 3 Dy 3.28
Tm  0.8908  0.2542  0.5715  3 Dy 3.33-3.65, 5 Tm 3.34-3.37, 1 In 3.45
Tm  0.2834  0.8908  0.5715  3 Dy 3.33-3.65, 5 Tm 3.34-3.37, 1 In 3.45
Tm  0.7458  0.7166  0.4285  3 Dy 3.33-3.65, 5 Tm 3.34-3.37, 1 In 3.45
In  0.0000  0.0000  0.0000  6 Dy 3.32, 6 Tm 3.45

The value obtained for the density of states at the Fermi level is 18.64 states/eV/f.u. As for the symmetry: R-3, No. 148. Its relative energy among the computed polymorphs is 0.00 eV/f.u. The energy relative to the elements comes out at 23 meV/atom.

---

First-principles (PBE) data for LiSmN after structural relaxation, as listed in Alexandria via LeMat-Bulk.

Cell lengths 4.0197, 4.0197, 4.0197 Å; angles 60.00, 60.00, 60.00 degrees
Last column: nearest neighbours and their distance in Å.
Atoms (fractional coordinates):
Li  0.5000  0.5000  0.5000  4 N 2.46
Sm  0.0000  0.0000  0.0000  4 N 2.46
N  0.2500  0.2500  0.2500  4 Li 2.46, 4 Sm 2.46

The value obtained for the density of states at the Fermi level is 1.62 states/eV/f.u. As for the symmetry: F-43m, No. 216. The formation energy from raw total energies is -0.63 eV per atom.

---

First-principles (PBE) data for Tb6Er12Mg after structural relaxation, as listed in Alexandria via LeMat-Bulk.

Cell lengths 8.5495, 8.5495, 8.5495 Å; angles 97.45, 97.45, 97.45 degrees
Last column: nearest neighbours and their distance in Å.
Atoms (fractional coordinates):
Tb  0.1361  0.1363  0.4090  4 Er 3.29-3.46, 2 Tb 3.51, 1 Mg 3.53
Tb  0.8637  0.5910  0.8639  4 Er 3.29-3.46, 2 Tb 3.51, 1 Mg 3.53
Tb  0.5910  0.8639  0.8637  4 Er 3.29-3.46, 2 Tb 3.51, 1 Mg 3.53
Tb  0.8639  0.8637  0.5910  4 Er 3.29-3.46, 2 Tb 3.51, 1 Mg 3.53
Tb  0.1363  0.4090  0.1361  4 Er 3.29-3.46, 2 Tb 3.51, 1 Mg 3.53
Tb  0.4090  0.1361  0.1363  4 Er 3.29-3.46, 2 Tb 3.51, 1 Mg 3.53
Er  0.5919  0.1658  0.5918  7 Er 3.17-3.50
Er  0.1658  0.5918  0.5919  7 Er 3.17-3.50
Er  0.5918  0.5919  0.1658  7 Er 3.17-3.50
Er  0.4081  0.8342  0.4082  7 Er 3.17-3.50
Er  0.8342  0.4082  0.4081  7 Er 3.17-3.50
Er  0.4082  0.4081  0.8342  7 Er 3.17-3.50
Er  0.2616  0.0001  0.7384  4 Tb 3.29-3.46, 6 Er 3.36-3.50, 1 Mg 3.36
Er  0.2616  0.7384  0.9999  4 Tb 3.29-3.46, 6 Er 3.36-3.50, 1 Mg 3.36
Er  0.9999  0.2616  0.7384  4 Tb 3.29-3.46, 1 Mg 3.36, 6 Er 3.36-3.50
Er  0.7384  0.9999  0.2616  4 Tb 3.29-3.46, 6 Er 3.36-3.50, 1 Mg 3.36
Er  0.7384  0.2616  0.0001  4 Tb 3.29-3.46, 6 Er 3.36-3.50, 1 Mg 3.36
Er  0.0001  0.7384  0.2616  4 Tb 3.29-3.46, 1 Mg 3.36, 6 Er 3.36-3.50
Mg  0.0000  0.0000  0.0000  6 Er 3.36, 6 Tb 3.53

The value obtained for the density of states at the Fermi level is 31.74 states/eV/f.u. As for the symmetry: R-3m, No. 166. Its relative energy among the computed polymorphs is 0.07 eV/f.u. The energy relative to the elements comes out at 141 meV/atom.

---

Number 1: total moment 0.00 μB/f.u.. Number 2: total moment 0.00 μB/f.u.. Number 3: total moment 6.98 μB/f.u.. Number 4: total moment 0.00 μB/f.u.. Number 5: total moment 0.00 μB/f.u.. Number 6: total moment 1.89 μB/f.u.. Number 7: total moment 0.00 μB/f.u.. Number 8: total moment 0.00 μB/f.u.. Number 9: total moment 1.53 μB/f.u.. Number 10: total moment 0.00 μB/f.u.. Number 11: total moment 0.00 μB/f.u.. Number 12: total moment 0.01 μB/f.u..